A relaxed structure of YHBrCl, computed with GGA-PBE.

Structure (CIF):
```
data_YHBrCl
_space_group_name_H-M_alt 'C 1 m 1'
_space_group_IT_number 8
_cell_length_a 6.5938
_cell_length_b 3.8070
_cell_length_c 7.6892
_cell_angle_alpha 90.00
_cell_angle_beta 106.68
_cell_angle_gamma 90.00
loop_
_space_group_symop_operation_xyz
'x,y,z'
'x,-y,z'
'x+1/2,y+1/2,z'
'x+1/2,-y+1/2,z'
loop_
_atom_site_label
_atom_site_type_symbol
_atom_site_fract_x
_atom_site_fract_y
_atom_site_fract_z
Y1 Y 0.0000 0.0000 0.0000
H1 H 0.1656 0.5000 0.9968
Br1 Br 0.2452 0.0000 0.7364
Cl1 Cl 0.4122 0.0000 0.2356
```

Results
D(E_F) (states/eV per atom): 0.000
Raw total energy (eV per formula unit): -19.9